No. 1
Compound: AcPtPbAu
Source: Alexandria via LeMat-Bulk
Functional: PBE-GGA
Structure: optimized geometry

Output
**E_form**: -0.629 eV/atom
**Crystal system**: cubic

```
data_AcPtPbAu
_space_group_name_H-M_alt 'F -4 3 m'
_space_group_IT_number 216
_space_group_name_Hall 'F -4 2 3'
_cell_length_a 7.4067
_cell_length_b 7.4067
_cell_length_c 7.4067
_cell_angle_alpha 90.00
_cell_angle_beta 90.00
_cell_angle_gamma 90.00
loop_
_atom_site_label
_atom_site_type_symbol
_atom_site_fract_x
_atom_site_fract_y
_atom_site_fract_z
Ac1 Ac 0.0000 0.0000 0.0000
Pt1 Pt 0.2500 0.2500 0.2500
Pb1 Pb 0.0000 0.0000 0.5000
Au1 Au 0.2500 0.2500 0.7500
```


No. 2
Compound: Al2CdSn
Source: Alexandria via LeMat-Bulk
Functional: PBE-GGA
Structure: optimized geometry

Output
**E_form**: 0.210 eV/atom
**Crystal system**: trigonal

```
data_Al2CdSn
_space_group_name_H-M_alt 'R 3 m'
_space_group_IT_number 160
_space_group_name_Hall 'R 3 -2"'
_cell_length_a 4.3113
_cell_length_b 4.3113
_cell_length_c 17.6857
_cell_angle_alpha 90.00
_cell_angle_beta 90.00
_cell_angle_gamma 120.00
loop_
_atom_site_label
_atom_site_type_symbol
_atom_site_fract_x
_atom_site_fract_y
_atom_site_fract_z
Al1 Al 0.0000 0.0000 0.0000
Al2 Al 0.0000 0.0000 0.1648
Cd1 Cd 0.0000 0.0000 0.5872
Sn1 Sn 0.0000 0.0000 0.4149
```


No. 3
Compound: Sm3Y2PuSe6
Source: Alexandria via LeMat-Bulk
Functional: PBE-GGA
Structure: optimized geometry

Output
**VASP energy**: -83.589 eV/f.u.
**Crystal system**: monoclinic

```
data_Sm3Y2PuSe6
_space_group_name_H-M_alt 'C 1 2/m 1'
_space_group_IT_number 12
_space_group_name_Hall '-C 2y'
_cell_length_a 18.0567
_cell_length_b 4.1158
_cell_length_c 8.3159
_cell_angle_alpha 90.00
_cell_angle_beta 103.46
_cell_angle_gamma 90.00
loop_
_atom_site_label
_atom_site_type_symbol
_atom_site_fract_x
_atom_site_fract_y
_atom_site_fract_z
Sm1 Sm 0.0000 0.0000 0.0000
Sm2 Sm 0.1652 0.5000 0.3348
Y1 Y 0.1638 0.5000 0.8283
Pu1 Pu 0.0000 0.0000 0.5000
Se1 Se 0.0014 0.5000 0.7488
Se2 Se 0.1669 0.0000 0.5884
Se3 Se 0.1697 0.0000 0.0787
```


No. 4
Compound: Pm2GdTm
Source: Alexandria via LeMat-Bulk
Functional: PBE-GGA
Structure: optimized geometry

Output
**E above lowest polymorph**: 0.000 eV per atom
**E_form**: 0.015 eV/atom
**Crystal system**: tetragonal

```
data_Pm2GdTm
_space_group_name_H-M_alt 'P 4/m m m'
_space_group_IT_number 123
_space_group_name_Hall '-P 4 2'
_cell_length_a 5.0891
_cell_length_b 5.0891
_cell_length_c 5.0527
_cell_angle_alpha 90.00
_cell_angle_beta 90.00
_cell_angle_gamma 90.00
loop_
_atom_site_label
_atom_site_type_symbol
_atom_site_fract_x
_atom_site_fract_y
_atom_site_fract_z
Pm1 Pm 0.0000 0.5000 0.0000
Gd1 Gd 0.0000 0.0000 0.5000
Tm1 Tm 0.5000 0.5000 0.5000
```


No. 5
Compound: LiNdGdTc
Source: Alexandria via LeMat-Bulk
Functional: PBE-GGA
Structure: optimized geometry

Output
**E_form**: 0.039 eV/atom
**Crystal system**: cubic

```
data_LiNdGdTc
_space_group_name_H-M_alt 'F -4 3 m'
_space_group_IT_number 216
_space_group_name_Hall 'F -4 2 3'
_cell_length_a 7.1006
_cell_length_b 7.1006
_cell_length_c 7.1006
_cell_angle_alpha 90.00
_cell_angle_beta 90.00
_cell_angle_gamma 90.00
loop_
_atom_site_label
_atom_site_type_symbol
_atom_site_fract_x
_atom_site_fract_y
_atom_site_fract_z
Li1 Li 0.0000 0.0000 0.0000
Nd1 Nd 0.2500 0.2500 0.2500
Gd1 Gd 0.2500 0.2500 0.7500
Tc1 Tc 0.0000 0.0000 0.5000
```


No. 6
Compound: Na2SmSi4
Source: Alexandria via LeMat-Bulk
Functional: PBE-GGA
Structure: optimized geometry

Output
**VASP energy**: -30.445 eV/f.u.
**Crystal system**: trigonal

```
data_Na2SmSi4
_space_group_name_H-M_alt 'R -3 m'
_space_group_IT_number 166
_space_group_name_Hall '-R 3 2"'
_cell_length_a 3.8797
_cell_length_b 3.8797
_cell_length_c 39.4428
_cell_angle_alpha 90.00
_cell_angle_beta 90.00
_cell_angle_gamma 120.00
loop_
_atom_site_label
_atom_site_type_symbol
_atom_site_fract_x
_atom_site_fract_y
_atom_site_fract_z
Na1 Na 0.0000 0.0000 0.1260
Sm1 Sm 0.0000 0.0000 0.0000
Si1 Si 0.0000 0.0000 0.2625
Si2 Si 0.0000 0.0000 0.3835
```


No. 7
Compound: PrCo2NiH8
Source: Alexandria via LeMat-Bulk
Functional: PBE-GGA
Structure: optimized geometry

Output
**VASP energy**: -54.222 eV/f.u.
**Crystal system**: trigonal

```
data_PrCo2NiH8
_space_group_name_H-M_alt 'R -3'
_space_group_IT_number 148
_space_group_name_Hall '-R 3'
_cell_length_a 4.4342
_cell_length_b 4.4342
_cell_length_c 16.1789
_cell_angle_alpha 90.00
_cell_angle_beta 90.00
_cell_angle_gamma 120.00
loop_
_atom_site_label
_atom_site_type_symbol
_atom_site_fract_x
_atom_site_fract_y
_atom_site_fract_z
Pr1 Pr 0.0000 0.0000 0.0000
Co1 Co 0.0000 0.0000 0.1990
Ni1 Ni 0.0000 0.0000 0.5000
H1 H 0.0000 0.0000 0.2988
H2 H 0.0158 0.3014 0.1237
```


No. 8
Compound: Ba2Al
Source: Alexandria via LeMat-Bulk
Functional: PBE-GGA
Structure: optimized geometry

Output
**E_form**: -0.006 eV/atom
**Crystal system**: orthorhombic

```
data_Ba2Al
_space_group_name_H-M_alt 'C m c m'
_space_group_IT_number 63
_space_group_name_Hall '-C 2c 2'
_cell_length_a 4.0986
_cell_length_b 21.3797
_cell_length_c 6.1138
_cell_angle_alpha 90.00
_cell_angle_beta 90.00
_cell_angle_gamma 90.00
loop_
_atom_site_label
_atom_site_type_symbol
_atom_site_fract_x
_atom_site_fract_y
_atom_site_fract_z
Ba1 Ba 0.0000 0.0717 0.2500
Ba2 Ba 0.0000 0.1955 0.7500
Al1 Al 0.0000 0.4358 0.2500
```


No. 9
Compound: NaNd2Sc
Source: Alexandria via LeMat-Bulk
Functional: PBE-GGA
Structure: optimized geometry

Output
**E above lowest polymorph**: 0.077 eV per atom
**E_form**: 0.213 eV/atom
**Crystal system**: tetragonal

```
data_NaNd2Sc
_space_group_name_H-M_alt 'P 4/m m m'
_space_group_IT_number 123
_space_group_name_Hall '-P 4 2'
_cell_length_a 5.8134
_cell_length_b 5.8134
_cell_length_c 3.6953
_cell_angle_alpha 90.00
_cell_angle_beta 90.00
_cell_angle_gamma 90.00
loop_
_atom_site_label
_atom_site_type_symbol
_atom_site_fract_x
_atom_site_fract_y
_atom_site_fract_z
Na1 Na 0.0000 0.0000 0.0000
Nd1 Nd 0.0000 0.5000 0.5000
Sc1 Sc 0.5000 0.5000 0.0000
```


No. 10
Compound: Pr3P2N6
Source: Alexandria via LeMat-Bulk
Functional: PBE-GGA
Structure: optimized geometry

Output
**VASP energy**: -84.963 eV/f.u.
**Crystal system**: monoclinic

```
data_Pr3P2N6
_space_group_name_H-M_alt 'C 1 2/m 1'
_space_group_IT_number 12
_space_group_name_Hall '-C 2y'
_cell_length_a 6.4248
_cell_length_b 5.6233
_cell_length_c 9.9809
_cell_angle_alpha 90.00
_cell_angle_beta 96.67
_cell_angle_gamma 90.00
loop_
_atom_site_label
_atom_site_type_symbol
_atom_site_fract_x
_atom_site_fract_y
_atom_site_fract_z
Pr1 Pr 0.0000 0.0000 0.0000
Pr2 Pr 0.2234 0.5000 0.6414
P1 P 0.1869 0.5000 0.2247
N1 N 0.1669 0.5000 0.3865
N2 N 0.2493 0.2572 0.1593
```


No. 11
Compound: LiPmAsPd
Source: Alexandria via LeMat-Bulk
Functional: PBE-GGA
Structure: optimized geometry

Output
**E_form**: -0.773 eV/atom
**Crystal system**: cubic

```
data_LiPmAsPd
_space_group_name_H-M_alt 'F -4 3 m'
_space_group_IT_number 216
_space_group_name_Hall 'F -4 2 3'
_cell_length_a 6.8580
_cell_length_b 6.8580
_cell_length_c 6.8580
_cell_angle_alpha 90.00
_cell_angle_beta 90.00
_cell_angle_gamma 90.00
loop_
_atom_site_label
_atom_site_type_symbol
_atom_site_fract_x
_atom_site_fract_y
_atom_site_fract_z
Li1 Li 0.0000 0.0000 0.0000
Pm1 Pm 0.0000 0.0000 0.5000
As1 As 0.2500 0.2500 0.7500
Pd1 Pd 0.2500 0.2500 0.2500
```


No. 12
Compound: Sr3LaAl8
Source: Alexandria via LeMat-Bulk
Functional: PBE-GGA
Structure: optimized geometry

Output
**E_form**: -0.316 eV/atom
**Crystal system**: trigonal

```
data_Sr3LaAl8
_space_group_name_H-M_alt 'R 3 m'
_space_group_IT_number 160
_space_group_name_Hall 'R 3 -2"'
_cell_length_a 5.8148
_cell_length_b 5.8148
_cell_length_c 28.6583
_cell_angle_alpha 90.00
_cell_angle_beta 90.00
_cell_angle_gamma 120.00
loop_
_atom_site_label
_atom_site_type_symbol
_atom_site_fract_x
_atom_site_fract_y
_atom_site_fract_z
Sr1 Sr 0.0000 0.0000 0.0000
Sr2 Sr 0.0000 0.0000 0.1250
Sr3 Sr 0.0000 0.0000 0.4999
La1 La 0.0000 0.0000 0.6255
Al1 Al 0.0000 0.0000 0.3123
Al2 Al 0.0000 0.0000 0.8126
Al3 Al 0.0010 0.5005 0.5634
Al4 Al 0.1680 0.3359 0.3951
```


The records above yield total magnetic moment values of 0.000; 0.000; 5.982; 7.251; 7.132; 0.000; 0.000; 0.000; 0.000; 0.000; 0.000; 0.000 μB per formula unit, respectively.